Record 1
Below is a relaxed structure of CdRh3C, with properties calculated at the GGA-PBE level.

abc: 4.9485 4.9485 21.4123
angles: 90.00 90.00 120.00
With the nearest neighbours (Å) after each atom.
Space group R-3 (No. 148, hexagonal axes)
Symmetry-distinct sites (fractional):
Cd  0.0000  0.0000  0.1663  6 Rh 2.86, 3 Cd 2.86
Rh  0.0012  0.6698  0.7242  2 C 2.05-2.06
C  0.0000  0.0000  0.3343  6 Rh 2.05-2.06

Calculated values
- energy of formation from the pure elements (eV/atom) = 0.19
- theoretical density (g/cm³) = 9.50
- E_tot (eV/f.u.) = -31.241

=====

Record 2
Below is a relaxed structure of CdRh3C, with properties calculated at the GGA-PBE level.

abc: 6.3889 13.1777 4.9380
angles: 90.00 90.00 90.00
With the nearest neighbours (Å) after each atom.
Space group Cmcm (No. 63)
Symmetry-distinct sites (fractional):
Cd  0.0000  0.1882  0.2500  1 C 2.58, 4 Rh 2.77-2.84
Rh  0.0000  0.0000  0.0000  6 Rh 2.47-2.67
Rh  0.2276  0.1417  0.7500  1 C 1.77
C  0.0000  0.3840  0.2500  2 Rh 1.77

Calculated values
- energy of formation from the pure elements (eV/atom) = 0.78
- theoretical density (g/cm³) = 6.92
- E_tot (eV/f.u.) = -28.277

=====

Record 3
Below is a relaxed structure of CdRh3C, with properties calculated at the GGA-PBE level.

abc: 3.9728 3.9728 6.5049
angles: 90.00 90.00 90.00
With the nearest neighbours (Å) after each atom.
Space group P4mm (No. 99)
Symmetry-distinct sites (fractional):
Cd  0.0000  0.0000  0.0000  5 Rh 2.66-2.89
Rh  0.0000  0.0000  0.4096  4 Rh 2.64, 1 Cd 2.66
Rh  0.0000  0.5000  0.6771  2 C 1.99
C  0.5000  0.5000  0.6703  4 Rh 1.99

Calculated values
- energy of formation from the pure elements (eV/atom) = 0.69
- theoretical density (g/cm³) = 7.01
- E_tot (eV/f.u.) = -28.722

=====

Record 4
Below is a relaxed structure of CdRh3C, with properties calculated at the GGA-PBE level.

abc: 10.8446 10.8446 10.8446
angles: 90.00 90.00 90.00
With the nearest neighbours (Å) after each atom.
Space group Fd-3m (No. 227, origin choice 2)
Symmetry-distinct sites (fractional):
Cd  0.0000  0.0000  0.0000  6 Rh 2.77
Rh  0.0655  0.3750  0.8750  2 C 2.04
C  0.0000  0.0000  0.5000  6 Rh 2.04

Calculated values
- energy of formation from the pure elements (eV/atom) = 0.16
- theoretical density (g/cm³) = 9.02
- E_tot (eV/f.u.) = -31.407

=====

Record 5
Below is a relaxed structure of CdRh3C, with properties calculated at the GGA-PBE level.

abc: 4.2185 12.0210 6.3580
angles: 90.00 90.00 90.00
With the nearest neighbours (Å) after each atom.
Space group Imma (No. 74)
Symmetry-distinct sites (fractional):
Cd  0.0000  0.0000  0.0000  8 Rh 2.77-3.08
Rh  0.0000  0.1342  0.3769  1 C 1.91
Rh  0.0000  0.2500  0.8935  3 C 1.98-2.11
C  0.0000  0.2500  0.5828  5 Rh 1.91-2.11

Calculated values
- energy of formation from the pure elements (eV/atom) = 0.23
- theoretical density (g/cm³) = 8.92
- E_tot (eV/f.u.) = -31.023

=====

Record 6
Below is a relaxed structure of CdRh3C, with properties calculated at the GGA-PBE level.

abc: 5.8561 9.6300 5.6827
angles: 90.00 118.40 90.00
With the nearest neighbours (Å) after each atom.
Space group Cc (No. 9)
Symmetry-distinct sites (fractional):
Cd  0.0000  0.0052  0.0000  1 C 2.53, 1 Rh 2.79
Rh  0.2743  0.2543  0.1642  2 C 1.97-2.06
Rh  0.2910  0.2497  0.6668  1 C 1.96
Rh  0.4846  0.0048  0.9829  2 C 2.02-2.09
C  0.0939  0.3575  0.8024  5 Rh 1.96-2.09

Calculated values
- energy of formation from the pure elements (eV/atom) = 0.09
- theoretical density (g/cm³) = 10.21
- E_tot (eV/f.u.) = -31.752

=====

Record 7
Below is a relaxed structure of CdRh3C, with properties calculated at the GGA-PBE level.

abc: 10.0354 5.1017 5.6996
angles: 90.00 105.18 90.00
With the nearest neighbours (Å) after each atom.
Space group C2 (No. 5)
Symmetry-distinct sites (fractional):
Cd  0.0134  0.0000  0.2578  1 C 2.54, 1 Rh 2.77
Rh  0.0000  0.4843  0.0000  2 C 2.06
Rh  0.0000  0.4867  0.5000  2 C 2.05
Rh  0.2470  0.7950  0.6243  1 C 1.98
Rh  0.2492  0.7739  0.1324  2 C 1.97-2.06
C  0.1409  0.5980  0.8144  5 Rh 1.97-2.06

Calculated values
- energy of formation from the pure elements (eV/atom) = 0.08
- theoretical density (g/cm³) = 10.22
- E_tot (eV/f.u.) = -31.778

=====

Record 8
Below is a relaxed structure of CdRh3C, with properties calculated at the GGA-PBE level.

abc: 9.7694 5.6388 6.0862
angles: 90.00 122.08 90.00
With the nearest neighbours (Å) after each atom.
Space group C2/m (No. 12)
Symmetry-distinct sites (fractional):
Cd  0.0993  0.0000  0.2951  9 Rh 2.83-2.85, 1 Cd 3.04
Rh  0.0827  0.5000  0.2583  2 C 2.09-2.12
Rh  0.1608  0.2561  0.7417  2 C 2.10-2.11
C  0.1707  0.5000  0.0116  6 Rh 2.09-2.12

Calculated values
- energy of formation from the pure elements (eV/atom) = 0.08
- theoretical density (g/cm³) = 10.13
- E_tot (eV/f.u.) = -31.785

=====

Record 9
Below is a relaxed structure of CdRuRh2C, with properties calculated at the GGA-PBE level.

abc: 4.1201 4.1201 4.1004
angles: 90.00 90.00 90.00
With the nearest neighbours (Å) after each atom.
Space group P4/mmm (No. 123)
Symmetry-distinct sites (fractional):
Cd  0.0000  0.0000  0.0000  8 Rh 2.91, 4 Ru 2.91
Ru  0.5000  0.5000  0.0000  2 C 2.05
Rh  0.0000  0.5000  0.5000  2 C 2.06
C  0.5000  0.5000  0.5000  2 Ru 2.05, 4 Rh 2.06

Calculated values
- energy of formation from the pure elements (eV/atom) = 0.09
- theoretical density (g/cm³) = 10.29
- E_tot (eV/f.u.) = -33.685

=====

Record 10
Below is a relaxed structure of Sc2CdRhC, with properties calculated at the GGA-PBE level.

abc: 4.6021 4.6021 3.9960
angles: 90.00 90.00 90.00
With the nearest neighbours (Å) after each atom.
Space group P4/mmm (No. 123)
Symmetry-distinct sites (fractional):
Sc  0.0000  0.5000  0.0000  2 C 2.30
Cd  0.0000  0.0000  0.5000  8 Sc 3.05, 4 Rh 3.25
Rh  0.5000  0.5000  0.5000  2 C 2.00
C  0.5000  0.5000  0.0000  2 Rh 2.00

Calculated values
- energy of formation from the pure elements (eV/atom) = -0.47
- theoretical density (g/cm³) = 6.22
- E_tot (eV/f.u.) = -32.515

=====

Record 11
Below is a relaxed structure of ScCdRh2C, with properties calculated at the GGA-PBE level.

abc: 4.1578 4.1578 4.3791
angles: 90.00 90.00 90.00
With the nearest neighbours (Å) after each atom.
Space group P4/mmm (No. 123)
Symmetry-distinct sites (fractional):
Sc  0.0000  0.0000  0.0000  2 C 2.19
Cd  0.5000  0.5000  0.0000  4 Sc 2.94, 8 Rh 3.02
Rh  0.0000  0.5000  0.5000  2 C 2.08
C  0.0000  0.0000  0.5000  4 Rh 2.08, 2 Sc 2.19

Calculated values
- energy of formation from the pure elements (eV/atom) = -0.24
- theoretical density (g/cm³) = 8.23
- E_tot (eV/f.u.) = -32.393

=====

Record 12
Below is a relaxed structure of Sr2CdRhC, with properties calculated at the GGA-PBE level.

abc: 5.5887 5.5887 3.9140
angles: 90.00 90.00 90.00
With the nearest neighbours (Å) after each atom.
Space group P4/mmm (No. 123)
Symmetry-distinct sites (fractional):
Sr  0.0000  0.5000  0.0000  2 C 2.79
Cd  0.0000  0.0000  0.5000  8 Sr 3.41
Rh  0.5000  0.5000  0.5000  2 C 1.96
C  0.5000  0.5000  0.0000  2 Rh 1.96

Calculated values
- energy of formation from the pure elements (eV/atom) = -0.15
- theoretical density (g/cm³) = 5.47
- E_tot (eV/f.u.) = -21.615

=====

Repeat the fifth record exactly.
Below is a relaxed structure of CdRh3C, with properties calculated at the GGA-PBE level.

abc: 4.2185 12.0210 6.3580
angles: 90.00 90.00 90.00
With the nearest neighbours (Å) after each atom.
Space group Imma (No. 74)
Symmetry-distinct sites (fractional):
Cd  0.0000  0.0000  0.0000  8 Rh 2.77-3.08
Rh  0.0000  0.1342  0.3769  1 C 1.91
Rh  0.0000  0.2500  0.8935  3 C 1.98-2.11
C  0.0000  0.2500  0.5828  5 Rh 1.91-2.11

Calculated values
- energy of formation from the pure elements (eV/atom) = 0.23
- theoretical density (g/cm³) = 8.92
- E_tot (eV/f.u.) = -31.023

=====

Repeat the fourth record exactly.
Below is a relaxed structure of CdRh3C, with properties calculated at the GGA-PBE level.

abc: 10.8446 10.8446 10.8446
angles: 90.00 90.00 90.00
With the nearest neighbours (Å) after each atom.
Space group Fd-3m (No. 227, origin choice 2)
Symmetry-distinct sites (fractional):
Cd  0.0000  0.0000  0.0000  6 Rh 2.77
Rh  0.0655  0.3750  0.8750  2 C 2.04
C  0.0000  0.0000  0.5000  6 Rh 2.04

Calculated values
- energy of formation from the pure elements (eV/atom) = 0.16
- theoretical density (g/cm³) = 9.02
- E_tot (eV/f.u.) = -31.407

=====

> The highest E_tot belongs to which entry?

Sr2CdRhC

=====

What did the fifth record say?
Below is a relaxed structure of CdRh3C, with properties calculated at the GGA-PBE level.

abc: 4.2185 12.0210 6.3580
angles: 90.00 90.00 90.00
With the nearest neighbours (Å) after each atom.
Space group Imma (No. 74)
Symmetry-distinct sites (fractional):
Cd  0.0000  0.0000  0.0000  8 Rh 2.77-3.08
Rh  0.0000  0.1342  0.3769  1 C 1.91
Rh  0.0000  0.2500  0.8935  3 C 1.98-2.11
C  0.0000  0.2500  0.5828  5 Rh 1.91-2.11

Calculated values
- energy of formation from the pure elements (eV/atom) = 0.23
- theoretical density (g/cm³) = 8.92
- E_tot (eV/f.u.) = -31.023